(1)
# Pm4PPtI2, relaxed, DFT GGA-PBE
data_Pm4PPtI2
_cell_length_a 4.1491
_cell_length_b 7.5721
_cell_length_c 8.0289
_cell_angle_alpha 106.80
_cell_angle_beta 90.00
_cell_angle_gamma 90.00
_space_group_name_H-M_alt 'P 1'
_space_group_IT_number 1
_space_group_name_Hall 'P 1'
loop_
_atom_site_label
_atom_site_type_symbol
_atom_site_fract_x
_atom_site_fract_y
_atom_site_fract_z
P1 P 0.5000 0.5000 0.0000
Pm1 Pm 0.5000 0.7782 0.8105
Pm2 Pm 0.0000 0.2761 0.8064
I1 I 0.0000 0.5000 0.5000
Pm3 Pm 0.0000 0.7239 0.1936
Pm4 Pm 0.5000 0.2218 0.1895
I2 I 0.5000 0.0000 0.5000
Pt1 Pt 0.0000 0.0000 0.0000
# Crystal system = monoclinic
# Total DFT energy (no corrections) = -5.38 eV per atom

***

(2)
# ZnAuSe, relaxed, DFT GGA-PBE
data_ZnAuSe
_cell_length_a 3.6639
_cell_length_b 2.8283
_cell_length_c 11.9649
_cell_angle_alpha 90.00
_cell_angle_beta 90.00
_cell_angle_gamma 90.00
_space_group_name_H-M_alt 'P 1'
_space_group_IT_number 1
_space_group_name_Hall 'P 1'
loop_
_atom_site_label
_atom_site_type_symbol
_atom_site_fract_x
_atom_site_fract_y
_atom_site_fract_z
Se1 Se 0.5000 0.0000 0.9159
Au1 Au 0.0000 0.0000 0.7370
Zn1 Zn 0.5000 0.5000 0.6217
Se2 Se 0.5000 0.5000 0.4159
Au2 Au 0.0000 0.5000 0.2370
Zn2 Zn 0.5000 0.0000 0.1217
# Offset from the most stable computed form = 0.40 eV per formula unit
# Crystal system = orthorhombic